1.
VASP calculation (PBE) on a relaxed structure of MgZnRu2.

CIF file:
```
data_MgZnRu2
_chemical_formula_sum 'Mg1 Zn1 Ru2'
_cell_length_a 2.982
_cell_length_b 4.359
_cell_length_c 4.530
_cell_angle_alpha 90.00
_cell_angle_beta 90.00
_cell_angle_gamma 90.00
_symmetry_space_group_name_H-M 'P m m m'
_symmetry_Int_Tables_number 47
loop_
_symmetry_equiv_pos_as_xyz
'x,y,z'
'-x,-y,-z'
'-x,-y,z'
'x,y,-z'
'x,-y,-z'
'-x,y,z'
'-x,y,-z'
'x,-y,z'
loop_
_atom_site_label
_atom_site_type_symbol
_atom_site_fract_x
_atom_site_fract_y
_atom_site_fract_z
Mg1 Mg 0.000 0.000 0.000
Zn1 Zn 0.500 0.000 0.500
Ru1 Ru 0.000 0.500 0.500
Ru2 Ru 0.500 0.500 0.000
```

density of states at the Fermi level	3.706	states/eV/f.u.
calculated formation energy	107	meV/atom

2.
VASP calculation (PBE) on a relaxed structure of Rb2BeWBr6.

CIF file:
```
data_Rb2BeWBr6
_chemical_formula_sum 'Rb4 Be2 W2 Br12'
_cell_length_a 7.326
_cell_length_b 7.326
_cell_length_c 11.216
_cell_angle_alpha 90.00
_cell_angle_beta 90.00
_cell_angle_gamma 90.00
_symmetry_space_group_name_H-M 'I 4/m m m'
_symmetry_Int_Tables_number 139
_symmetry_space_group_name_Hall '-I 4 2'
loop_
_atom_site_label
_atom_site_type_symbol
_atom_site_fract_x
_atom_site_fract_y
_atom_site_fract_z
Rb1 Rb 0.000 0.500 0.250
Be1 Be 0.000 0.000 0.000
W1 W 0.000 0.000 0.500
Br1 Br 0.000 0.000 0.267
Br2 Br 0.238 0.238 0.000
```

formation energy (no corrections)	-694	meV per atom
density of states at the Fermi level	0.938	states/eV/f.u.

3.
VASP calculation (PBE) on a relaxed structure of BaNi3As3.

CIF file:
```
data_BaNi3As3
_chemical_formula_sum 'Ba2 Ni6 As6'
_cell_length_a 6.563
_cell_length_b 6.563
_cell_length_c 6.563
_cell_angle_alpha 90.00
_cell_angle_beta 90.00
_cell_angle_gamma 90.00
_symmetry_space_group_name_H-M 'P m -3 n'
_symmetry_Int_Tables_number 223
_symmetry_space_group_name_Hall '-P 4n 2 3'
loop_
_atom_site_label
_atom_site_type_symbol
_atom_site_fract_x
_atom_site_fract_y
_atom_site_fract_z
Ba1 Ba 0.000 0.000 0.000
Ni1 Ni 0.000 0.250 0.500
As1 As 0.000 0.500 0.250
```

energy above the lowest structure with this stoichiometry	0.000	eV/atom
density of states at the Fermi level	4.451	states/eV/f.u.
calculated formation energy	-497	meV/atom

4.
VASP calculation (PBE) on a relaxed structure of ScCuC.

CIF file:
```
data_ScCuC
_chemical_formula_sum 'Sc4 Cu4 C4'
_cell_length_a 6.030
_cell_length_b 3.381
_cell_length_c 6.798
_cell_angle_alpha 90.00
_cell_angle_beta 90.00
_cell_angle_gamma 90.00
_symmetry_space_group_name_H-M 'P n m a'
_symmetry_Int_Tables_number 62
loop_
_symmetry_equiv_pos_as_xyz
'x,y,z'
'-x,-y,-z'
'-x+1/2,-y,z+1/2'
'x+1/2,y,-z+1/2'
'x+1/2,-y+1/2,-z+1/2'
'-x+1/2,y+1/2,z+1/2'
'-x,y+1/2,-z'
'x,-y+1/2,z'
loop_
_atom_site_label
_atom_site_type_symbol
_atom_site_fract_x
_atom_site_fract_y
_atom_site_fract_z
Sc1 Sc 0.035 0.250 0.180
Cu1 Cu 0.148 0.250 0.551
C1 C 0.232 0.250 0.872
```

density of states at the Fermi level	0.075	states/eV/f.u.
calculated formation energy	-102	meV/atom

5.
VASP calculation (PBE) on a relaxed structure of SmTm2ThN4.

CIF file:
```
data_SmTm2ThN4
_chemical_formula_sum 'Sm1 Tm2 Th1 N4'
_cell_length_a 6.086
_cell_length_b 3.523
_cell_length_c 6.089
_cell_angle_alpha 90.00
_cell_angle_beta 109.32
_cell_angle_gamma 90.00
_symmetry_space_group_name_H-M 'P 1 2/m 1'
_symmetry_Int_Tables_number 10
loop_
_symmetry_equiv_pos_as_xyz
'x,y,z'
'-x,-y,-z'
'-x,y,-z'
'x,-y,z'
loop_
_atom_site_label
_atom_site_type_symbol
_atom_site_fract_x
_atom_site_fract_y
_atom_site_fract_z
Sm1 Sm 0.000 0.000 0.000
Tm1 Tm 0.000 0.500 0.500
Tm2 Tm 0.500 0.000 0.500
Th1 Th 0.500 0.500 0.000
N1 N 0.249 0.000 0.739
N2 N 0.258 0.500 0.260
```

formation energy (no corrections)	-1663	meV per atom
density of states at the Fermi level	1.707	states/eV/f.u.

6.
VASP calculation (PBE) on a relaxed structure of BaCrW2.

CIF file:
```
data_BaCrW2
_chemical_formula_sum 'Ba2 Cr2 W4'
_cell_length_a 4.840
_cell_length_b 4.840
_cell_length_c 6.830
_cell_angle_alpha 90.00
_cell_angle_beta 90.00
_cell_angle_gamma 90.00
_symmetry_space_group_name_H-M 'I -4 m 2'
_symmetry_Int_Tables_number 119
_symmetry_space_group_name_Hall 'I -4 -2'
loop_
_atom_site_label
_atom_site_type_symbol
_atom_site_fract_x
_atom_site_fract_y
_atom_site_fract_z
Ba1 Ba 0.000 0.000 0.000
Cr1 Cr 0.000 0.500 0.750
W1 W 0.000 0.000 0.500
W2 W 0.000 0.500 0.250
```

energy above the lowest structure with this stoichiometry	0.646	eV/atom
density of states at the Fermi level	5.553	states/eV/f.u.
calculated formation energy	1504	meV/atom

7.
VASP calculation (PBE) on a relaxed structure of Ca2H6Pd.

CIF file:
```
data_Ca2H6Pd
_chemical_formula_sum 'Ca4 H12 Pd2'
_cell_length_a 3.673
_cell_length_b 3.673
_cell_length_c 13.206
_cell_angle_alpha 90.00
_cell_angle_beta 90.00
_cell_angle_gamma 90.00
_symmetry_space_group_name_H-M 'I 4/m m m'
_symmetry_Int_Tables_number 139
_symmetry_space_group_name_Hall '-I 4 2'
loop_
_atom_site_label
_atom_site_type_symbol
_atom_site_fract_x
_atom_site_fract_y
_atom_site_fract_z
Ca1 Ca 0.000 0.000 0.152
H1 H 0.000 0.000 0.372
H2 H 0.000 0.500 0.000
H3 H 0.000 0.500 0.250
Pd1 Pd 0.000 0.000 0.500
```

energy	-3.779	eV/atom
density of states at the Fermi level	0.154	states/eV/f.u.

8.
VASP calculation (PBE) on a relaxed structure of Ca6Pb4Cl19.

CIF file:
```
data_Ca6Pb4Cl19
_chemical_formula_sum 'Ca12 Pb8 Cl38'
_cell_length_a 12.234
_cell_length_b 12.234
_cell_length_c 12.234
_cell_angle_alpha 90.00
_cell_angle_beta 90.00
_cell_angle_gamma 90.00
_symmetry_space_group_name_H-M 'I 2 3'
_symmetry_Int_Tables_number 197
_symmetry_space_group_name_Hall 'I 2 2 3'
loop_
_atom_site_label
_atom_site_type_symbol
_atom_site_fract_x
_atom_site_fract_y
_atom_site_fract_z
Ca1 Ca 0.000 0.167 0.500
Pb1 Pb 0.149 0.149 0.149
Cl1 Cl 0.000 0.000 0.000
Cl2 Cl 0.000 0.000 0.351
Cl3 Cl 0.032 0.280 0.306
```

formation energy (no corrections)	-1795	meV per atom
density of states at the Fermi level	5.662	states/eV/f.u.

Q: The lowest density of states at the Fermi level belongs to which entry?
A: ScCuC

Q: density of states at the Fermi level of number 8 (Ca6Pb4Cl19)?
A: 5.662 states/eV/f.u.

Q: Which of these has the highest density of states at the Fermi level?
A: Ca6Pb4Cl19

Q: Look up the density of states at the Fermi level of the seventh one.
A: 0.154 states/eV/f.u.